1.
Entry from Alexandria via LeMat-Bulk: a geometry-optimized HfScTeO6 structure (PBE-GGA).

ΔE_f (raw) ... -2071 kJ/mol of formula units
Mass density ... 6.46 g cm⁻³
SG ... P-31c

Cell: 5.381 5.381 9.157 Å, 90.00 90.00 120.00°
Atoms (fractional coordinates):
Hf1 0.333 0.667 0.250
Hf2 0.667 0.333 0.750
Sc1 0.000 0.000 0.000
Sc2 0.000 0.000 0.500
Te1 0.333 0.667 0.750
Te2 0.667 0.333 0.250
O1 0.003 0.340 0.631
O2 0.003 0.663 0.869
O3 0.337 0.340 0.869
O4 0.337 0.997 0.631
O5 0.340 0.003 0.131
O6 0.340 0.337 0.369
O7 0.660 0.663 0.631
O8 0.660 0.997 0.869
O9 0.663 0.003 0.369
O10 0.663 0.660 0.131
O11 0.997 0.337 0.131
O12 0.997 0.660 0.369

---

2.
Entry from Alexandria via LeMat-Bulk: a geometry-optimized Hf2ScTiO structure (PBE-GGA).

ΔE_f (raw) ... -486 kJ/mol of formula units
Mass density ... 8.91 g cm⁻³
SG ... P4/mmm
Energy relative to the lowest polymorph listed for this composition ... 60 meV per atom

Cell: 4.521 4.521 4.245 Å, 90.00 90.00 90.00°
Atoms (fractional coordinates):
Hf1 0.000 0.500 0.000
Hf2 0.500 0.000 0.000
Sc1 0.000 0.000 0.500
Ti1 0.500 0.500 0.500
O1 0.500 0.500 0.000

---

3.
Entry from Alexandria via LeMat-Bulk: a geometry-optimized HfSc2TiO structure (PBE-GGA).

ΔE_f (raw) ... -504 kJ/mol of formula units
Mass density ... 6.40 g cm⁻³
SG ... P4/mmm
Energy relative to the lowest polymorph listed for this composition ... 40 meV per atom

Cell: 4.477 4.477 4.298 Å, 90.00 90.00 90.00°
Atoms (fractional coordinates):
Hf1 0.000 0.000 0.000
Sc1 0.000 0.500 0.500
Sc2 0.500 0.000 0.500
Ti1 0.500 0.500 0.000
O1 0.500 0.500 0.500